Ac3CePb5 | PBE-GGA | relaxed

The structure in extended XYZ format:
```
18
Lattice="10.166 0.000 0.000 -5.083 8.804 0.000 0.000 0.000 6.882" Properties=species:S:1:pos:R:3 pbc="T T T"
Ac -1.936 3.354 1.720
Ac -3.147 5.450 5.161
Ac 3.873 0.000 1.720
Ac 1.936 3.354 5.161
Ac 6.294 0.000 5.161
Ac 3.147 5.450 1.720
Ce 0.000 0.000 0.000
Ce 0.000 0.000 3.441
Pb -1.429 2.474 5.161
Pb -3.655 6.330 1.720
Pb 2.857 0.000 5.161
Pb 1.429 2.474 1.720
Pb 0.000 5.870 0.000
Pb 0.000 5.870 3.441
Pb 5.083 2.935 0.000
Pb 5.083 2.935 3.441
Pb 7.309 0.000 1.720
Pb 3.655 6.330 5.161
```

## Properties
ΔH_f (0 K) (eV per atom): -0.4512
E (eV per atom): -4.540